Material: Pm2NbO
Method: DFT, PBE
State: optimized geometry

The structure in CIF format:
```
data_Pm2NbO
_chemical_formula_sum 'Pm2 Nb1 O1'
_space_group_name_H-M_alt 'P 1'
_space_group_IT_number 1
_cell_length_a 9.1667
_cell_length_b 9.1667
_cell_length_c 9.1667
_cell_angle_alpha 21.08
_cell_angle_beta 21.08
_cell_angle_gamma 21.08
loop_
_space_group_symop_operation_xyz
'x,y,z'
loop_
_atom_site_label
_atom_site_type_symbol
_atom_site_fract_x
_atom_site_fract_y
_atom_site_fract_z
Pm1 Pm 0.1105 0.1105 0.1105
Pm2 Pm 0.8895 0.8895 0.8895
Nb1 Nb 0.0000 0.0000 0.0000
O1 O 0.5000 0.5000 0.5000
```

***

Material: PmNb3O9
Method: DFT, PBE
State: optimized geometry

The structure in CIF format:
```
data_PmNb3O9
_chemical_formula_sum 'Pm2 Nb6 O18'
_space_group_name_H-M_alt 'P 1'
_space_group_IT_number 1
_cell_length_a 5.4095
_cell_length_b 7.6099
_cell_length_c 8.3595
_cell_angle_alpha 90.00
_cell_angle_beta 91.99
_cell_angle_gamma 90.00
loop_
_space_group_symop_operation_xyz
'x,y,z'
loop_
_atom_site_label
_atom_site_type_symbol
_atom_site_fract_x
_atom_site_fract_y
_atom_site_fract_z
Pm1 Pm 0.0339 0.2500 0.4348
Pm2 Pm 0.9661 0.7500 0.5652
Nb1 Nb 0.0000 0.0000 0.0000
Nb2 Nb 0.0000 0.5000 0.0000
Nb3 Nb 0.4765 0.0084 0.6993
Nb4 Nb 0.4765 0.4916 0.6993
Nb5 Nb 0.5235 0.5084 0.3007
Nb6 Nb 0.5235 0.9916 0.3007
O1 O 0.0909 0.2500 0.9814
O2 O 0.1499 0.5603 0.7856
O3 O 0.1499 0.9397 0.7856
O4 O 0.2608 0.5401 0.4647
O5 O 0.2608 0.9599 0.4647
O6 O 0.3233 0.5523 0.1202
O7 O 0.3233 0.9477 0.1202
O8 O 0.3418 0.2500 0.6576
O9 O 0.4341 0.2500 0.3118
O10 O 0.5659 0.7500 0.6882
O11 O 0.6582 0.7500 0.3424
O12 O 0.6767 0.0523 0.8798
O13 O 0.6767 0.4477 0.8798
O14 O 0.7392 0.0401 0.5353
O15 O 0.7392 0.4599 0.5353
O16 O 0.8501 0.0603 0.2144
O17 O 0.8501 0.4397 0.2144
O18 O 0.9091 0.7500 0.0186
```

***

Material: Pm3NbO7
Method: DFT, PBE
State: optimized geometry

The structure in CIF format:
```
data_Pm3NbO7
_chemical_formula_sum 'Pm6 Nb2 O14'
_space_group_name_H-M_alt 'P 1'
_space_group_IT_number 1
_cell_length_a 6.6781
_cell_length_b 6.6781
_cell_length_c 7.6678
_cell_angle_alpha 90.00
_cell_angle_beta 90.00
_cell_angle_gamma 108.55
loop_
_space_group_symop_operation_xyz
'x,y,z'
loop_
_atom_site_label
_atom_site_type_symbol
_atom_site_fract_x
_atom_site_fract_y
_atom_site_fract_z
Pm1 Pm 0.0372 0.4985 0.2612
Pm2 Pm 0.0396 0.0396 0.0000
Pm3 Pm 0.4985 0.0372 0.7388
Pm4 Pm 0.5015 0.9628 0.2388
Pm5 Pm 0.9604 0.9604 0.5000
Pm6 Pm 0.9628 0.5015 0.7612
Nb1 Nb 0.4977 0.4977 0.5000
Nb2 Nb 0.5023 0.5023 0.0000
O1 O 0.1290 0.8710 0.7500
O2 O 0.1387 0.8613 0.2500
O3 O 0.1741 0.4181 0.9793
O4 O 0.2010 0.4553 0.5455
O5 O 0.4181 0.1741 0.0207
O6 O 0.4353 0.5647 0.2500
O7 O 0.4553 0.2010 0.4545
O8 O 0.5447 0.7990 0.9545
O9 O 0.5647 0.4353 0.7500
O10 O 0.5819 0.8259 0.5207
O11 O 0.7990 0.5447 0.0455
O12 O 0.8259 0.5819 0.4793
O13 O 0.8613 0.1387 0.7500
O14 O 0.8710 0.1290 0.2500
```

***

Material: Pm4Nb6O19
Method: DFT, PBE
State: optimized geometry

The structure in CIF format:
```
data_Pm4Nb6O19
_chemical_formula_sum 'Pm4 Nb6 O19'
_space_group_name_H-M_alt 'P 1'
_space_group_IT_number 1
_cell_length_a 8.0422
_cell_length_b 8.0422
_cell_length_c 8.0422
_cell_angle_alpha 109.47
_cell_angle_beta 109.47
_cell_angle_gamma 109.47
loop_
_space_group_symop_operation_xyz
'x,y,z'
loop_
_atom_site_label
_atom_site_type_symbol
_atom_site_fract_x
_atom_site_fract_y
_atom_site_fract_z
Pm1 Pm 0.0000 0.0000 0.7071
Pm2 Pm 0.0000 0.7071 0.0000
Pm3 Pm 0.2929 0.2929 0.2929
Pm4 Pm 0.7071 0.0000 0.0000
Nb1 Nb 0.1501 0.6501 0.5000
Nb2 Nb 0.3499 0.5000 0.8499
Nb3 Nb 0.5000 0.1501 0.6501
Nb4 Nb 0.5000 0.8499 0.3499
Nb5 Nb 0.6501 0.5000 0.1501
Nb6 Nb 0.8499 0.3499 0.5000
O1 O 0.0000 0.0000 0.0000
O2 O 0.0000 0.3308 0.3308
O3 O 0.0000 0.6692 0.6692
O4 O 0.0337 0.2911 0.6776
O5 O 0.2575 0.9663 0.6439
O6 O 0.2911 0.6776 0.0337
O7 O 0.3224 0.6135 0.3561
O8 O 0.3308 0.0000 0.3308
O9 O 0.3308 0.3308 0.0000
O10 O 0.3561 0.3224 0.6135
O11 O 0.3865 0.7089 0.7425
O12 O 0.6135 0.3561 0.3224
O13 O 0.6439 0.2575 0.9663
O14 O 0.6692 0.0000 0.6692
O15 O 0.6692 0.6692 0.0000
O16 O 0.6776 0.0337 0.2911
O17 O 0.7089 0.7425 0.3865
O18 O 0.7425 0.3865 0.7089
O19 O 0.9663 0.6439 0.2575
```

***

Material: PmNb2O5
Method: DFT, PBE
State: optimized geometry

The structure in CIF format:
```
data_PmNb2O5
_chemical_formula_sum 'Pm2 Nb4 O10'
_space_group_name_H-M_alt 'P 1'
_space_group_IT_number 1
_cell_length_a 5.2998
_cell_length_b 5.2998
_cell_length_c 9.9558
_cell_angle_alpha 90.00
_cell_angle_beta 90.00
_cell_angle_gamma 133.52
loop_
_space_group_symop_operation_xyz
'x,y,z'
loop_
_atom_site_label
_atom_site_type_symbol
_atom_site_fract_x
_atom_site_fract_y
_atom_site_fract_z
Pm1 Pm 0.0273 0.9727 0.7500
Pm2 Pm 0.9727 0.0273 0.2500
Nb1 Nb 0.3361 0.6639 0.5484
Nb2 Nb 0.3361 0.6639 0.9516
Nb3 Nb 0.6639 0.3361 0.0484
Nb4 Nb 0.6639 0.3361 0.4516
O1 O 0.1440 0.8560 0.0613
O2 O 0.1440 0.8560 0.4387
O3 O 0.2756 0.7244 0.7500
O4 O 0.4567 0.5433 0.1208
O5 O 0.4567 0.5433 0.3792
O6 O 0.5433 0.4567 0.6208
O7 O 0.5433 0.4567 0.8792
O8 O 0.7244 0.2756 0.2500
O9 O 0.8560 0.1440 0.5613
O10 O 0.8560 0.1440 0.9387
```

***

Material: Pm3NbO6
Method: DFT, PBE
State: optimized geometry

The structure in CIF format:
```
data_Pm3NbO6
_chemical_formula_sum 'Pm6 Nb2 O12'
_space_group_name_H-M_alt 'P 1'
_space_group_IT_number 1
_cell_length_a 7.3691
_cell_length_b 7.3691
_cell_length_c 5.7383
_cell_angle_alpha 90.00
_cell_angle_beta 90.00
_cell_angle_gamma 101.09
loop_
_space_group_symop_operation_xyz
'x,y,z'
loop_
_atom_site_label
_atom_site_type_symbol
_atom_site_fract_x
_atom_site_fract_y
_atom_site_fract_z
Pm1 Pm 0.1003 0.8997 0.5000
Pm2 Pm 0.2182 0.4048 0.4565
Pm3 Pm 0.4048 0.2182 0.9565
Pm4 Pm 0.5952 0.7818 0.4565
Pm5 Pm 0.7818 0.5952 0.9565
Pm6 Pm 0.8997 0.1003 0.0000
Nb1 Nb 0.3149 0.6851 0.9343
Nb2 Nb 0.6851 0.3149 0.4343
O1 O 0.0925 0.6028 0.7463
O2 O 0.1388 0.1691 0.7266
O3 O 0.1691 0.1388 0.2266
O4 O 0.2808 0.7192 0.2640
O5 O 0.3972 0.9075 0.7463
O6 O 0.4779 0.5221 0.7491
O7 O 0.5221 0.4779 0.2491
O8 O 0.6028 0.0925 0.2463
O9 O 0.7192 0.2808 0.7640
O10 O 0.8309 0.8612 0.7266
O11 O 0.8612 0.8309 0.2266
O12 O 0.9075 0.3972 0.2463
```

***

Material: PmNbO4
Method: DFT, PBE
State: optimized geometry

The structure in CIF format:
```
data_PmNbO4
_chemical_formula_sum 'Pm2 Nb2 O8'
_space_group_name_H-M_alt 'P 1'
_space_group_IT_number 1
_cell_length_a 6.7872
_cell_length_b 6.7872
_cell_length_c 5.2349
_cell_angle_alpha 111.24
_cell_angle_beta 111.24
_cell_angle_gamma 114.54
loop_
_space_group_symop_operation_xyz
'x,y,z'
loop_
_atom_site_label
_atom_site_type_symbol
_atom_site_fract_x
_atom_site_fract_y
_atom_site_fract_z
Pm1 Pm 0.1278 0.8722 0.7500
Pm2 Pm 0.8722 0.1278 0.2500
Nb1 Nb 0.3903 0.6097 0.2500
Nb2 Nb 0.6097 0.3903 0.7500
O1 O 0.1365 0.5531 0.3419
O2 O 0.2191 0.2863 0.8111
O3 O 0.2863 0.2191 0.3111
O4 O 0.4469 0.8635 0.1581
O5 O 0.5531 0.1365 0.8419
O6 O 0.7137 0.7809 0.6889
O7 O 0.7809 0.7137 0.1889
O8 O 0.8635 0.4469 0.6581
```

***

Material: PmPrNb2O8
Method: DFT, PBE
State: optimized geometry

The structure in CIF format:
```
data_PmPrNb2O8
_chemical_formula_sum 'Pm1 Pr1 Nb2 O8'
_space_group_name_H-M_alt 'P 1'
_space_group_IT_number 1
_cell_length_a 6.9131
_cell_length_b 6.9131
_cell_length_c 6.9131
_cell_angle_alpha 134.19
_cell_angle_beta 134.19
_cell_angle_gamma 66.79
loop_
_space_group_symop_operation_xyz
'x,y,z'
loop_
_atom_site_label
_atom_site_type_symbol
_atom_site_fract_x
_atom_site_fract_y
_atom_site_fract_z
Pm1 Pm 0.0000 0.0000 0.0000
Pr1 Pr 0.7500 0.2500 0.5000
Nb1 Nb 0.2500 0.7500 0.5000
Nb2 Nb 0.5000 0.5000 0.0000
O1 O 0.0884 0.6750 0.0879
O2 O 0.1652 0.2461 0.5837
O3 O 0.3250 0.4128 0.4134
O4 O 0.4185 0.8348 0.0809
O5 O 0.5872 0.0006 0.9121
O6 O 0.6624 0.5815 0.4163
O7 O 0.7539 0.3376 0.9191
O8 O 0.9994 0.9116 0.5866
```

***

Calculated magnetic moment, 0.88, 0.00, 0.00, 2.11, 0.00, 0.00, 0.00, 0.00 μB per formula unit (same order as the records).
Calculated ΔE_f (raw), -0.72, -2.77, -3.23, -2.79, -2.64, -2.96, -3.07, -3.06 eV per atom (same order as the records).